Below is Na3AgPd2O6 after structural relaxation, with properties calculated at the PBE level.

Formation energy without anion corrections: -9.47 eV per formula unit
E: -4.70 eV/atom

Unit cell a=5.6125 b=9.7175 c=5.6818 alpha=90.00 beta=109.73 gamma=90.00
Last column: nearest neighbours and their distance in Å.
Space group C2/m (No. 12)
Unique sites:
Na: 0.0000 0.0000 0.0000 [2 per cell]  6 O 2.28-2.52
Na: 0.0000 0.3431 0.0000 [4 per cell]  6 O 2.31-2.55
Ag: 0.0000 0.5000 0.5000 [2 per cell]  6 O 2.37-2.38
Pd: 0.0000 0.1673 0.5000 [4 per cell]  6 O 2.09-2.11
O: 0.2001 0.0000 0.7113 [4 per cell]  2 Pd 2.11, 1 Na 2.28
O: 0.2412 0.1868 0.2893 [8 per cell]  2 Pd 2.09-2.10, 1 Na 2.31

---

Below is NaPmAg2O4 after structural relaxation, with properties calculated at the PBE level.

Formation energy without anion corrections: -10.57 eV per formula unit
E: -5.27 eV/atom

Unit cell a=5.9461 b=5.9461 c=6.5488 alpha=90.00 beta=90.00 gamma=90.00
Last column: nearest neighbours and their distance in Å.
Space group I-42m (No. 121)
Unique sites:
Na: 0.0000 0.0000 0.0000 [2 per cell]  4 O 2.41
Pm: 0.0000 0.0000 0.5000 [2 per cell]  4 O 2.32
Ag: 0.0000 0.5000 0.2500 [4 per cell]  4 O 2.14
O: 0.2031 0.2031 0.7403 [8 per cell]  2 Ag 2.14, 1 Pm 2.32

---

Below is Na2PmAgO4 after structural relaxation, with properties calculated at the PBE level.

Formation energy without anion corrections: -12.61 eV per formula unit
E: -5.34 eV/atom

Unit cell a=5.9466 b=5.9466 c=6.5010 alpha=90.00 beta=90.00 gamma=90.00
Last column: nearest neighbours and their distance in Å.
Space group I-4 (No. 82)
Unique sites:
Na: 0.0000 0.0000 0.0000 [2 per cell]  4 O 2.44
Na: 0.0000 0.5000 0.2500 [2 per cell]  4 O 2.25
Pm: 0.0000 0.0000 0.5000 [2 per cell]  4 O 2.32
Ag: 0.0000 0.5000 0.7500 [2 per cell]  4 O 2.02
O: 0.1930 0.2200 0.7363 [8 per cell]  1 Ag 2.02, 1 Na 2.25

---

Below is NaPmAgO3 after structural relaxation, with properties calculated at the PBE level.

Formation energy without anion corrections: -10.45 eV per formula unit
E: -5.71 eV/atom

Unit cell a=5.7967 b=3.3849 c=9.0852 alpha=90.00 beta=104.58 gamma=90.00
Last column: nearest neighbours and their distance in Å.
Space group P2_1/m (No. 11)
Unique sites:
Na: 0.2271 0.2500 0.4430 [2 per cell]  6 O 2.43-2.60
Pm: 0.3593 0.7500 0.8047 [2 per cell]  7 O 2.40-2.50
Ag: 0.1039 0.7500 0.1447 [2 per cell]  3 O 2.15-2.26
O: 0.0865 0.2500 0.6739 [2 per cell]  1 Ag 2.20, 2 Pm 2.41, 1 Na 2.43
O: 0.2816 0.2500 0.9883 [2 per cell]  1 Ag 2.26, 3 Pm 2.43-2.50
O: 0.4446 0.7500 0.3069 [2 per cell]  1 Ag 2.15, 2 Pm 2.40

---

Below is Na3Pm2AgO6 after structural relaxation, with properties calculated at the PBE level.

Formation energy without anion corrections: -22.92 eV per formula unit
E: -5.75 eV/atom

Unit cell a=5.9668 b=10.4084 c=5.9316 alpha=90.00 beta=108.00 gamma=90.00
Last column: nearest neighbours and their distance in Å.
Space group C2/m (No. 12)
Unique sites:
Na: 0.0000 0.0000 0.0000 [2 per cell]  6 O 2.53-2.73
Na: 0.0000 0.3405 0.0000 [4 per cell]  6 O 2.48-2.53
Pm: 0.0000 0.1725 0.5000 [4 per cell]  6 O 2.34-2.44
Ag: 0.0000 0.5000 0.5000 [2 per cell]  2 O 2.09
O: 0.2358 0.5000 0.3029 [4 per cell]  1 Ag 2.09
O: 0.2490 0.1719 0.2636 [8 per cell]  2 Pm 2.34-2.35, 1 Ag 2.47, 3 Na 2.48-2.53

---

Below is Na2PrAgO4 after structural relaxation, with properties calculated at the PBE level.

Formation energy without anion corrections: -12.47 eV per formula unit
E: -5.32 eV/atom

Unit cell a=5.9572 b=5.9572 c=6.5298 alpha=90.00 beta=90.00 gamma=90.00
Last column: nearest neighbours and their distance in Å.
Space group I-4 (No. 82)
Unique sites:
Na: 0.0000 0.0000 0.0000 [2 per cell]  4 O 2.45
Na: 0.0000 0.5000 0.2500 [2 per cell]  4 O 2.24
Pr: 0.0000 0.0000 0.5000 [2 per cell]  4 O 2.39
Ag: 0.0000 0.5000 0.7500 [2 per cell]  4 O 2.02
O: 0.1982 0.2244 0.7430 [8 per cell]  1 Ag 2.02, 1 Na 2.24